No. 1
First-principles (PBE-GGA) data for crystalline CsSr3Tc at its relaxed geometry, as listed in Alexandria.

Structure (POSCAR):
```
CsSr3Tc
1.0
6.1821 0.0000 0.0000
0.0000 6.1821 0.0000
0.0000 0.0000 6.1821
Cs Sr Tc
1 3 1
Direct
0.0000 0.0000 0.0000 Cs
0.0000 0.5000 0.5000 Sr
0.5000 0.0000 0.5000 Sr
0.5000 0.5000 0.0000 Sr
0.5000 0.5000 0.5000 Tc
```

Properties
Energy of formation   0.53 eV per atom
M_tot   1.65 μB/cell
SG   No. 221
Mass density   3.47 g/cm3

=====

No. 2
First-principles (PBE-GGA) data for crystalline CaDy3Pd6 at its relaxed geometry, as listed in Alexandria.

Structure (POSCAR):
```
CaDy3Pd6
1.0
8.1467 0.0000 0.0000
0.0000 4.5982 0.0000
-2.5430 0.0000 11.1410
Ca Dy Pd
2 6 12
Direct
0.0955 0.2500 0.4112 Ca
0.9045 0.7500 0.5888 Ca
0.1869 0.2500 0.9941 Dy
0.3669 0.7500 0.8182 Dy
0.4796 0.7500 0.3748 Dy
0.5204 0.2500 0.6252 Dy
0.6331 0.2500 0.1818 Dy
0.8131 0.7500 0.0059 Dy
0.0420 0.7500 0.8444 Pd
0.1432 0.7500 0.1809 Pd
0.1654 0.2500 0.7150 Pd
0.2903 0.7500 0.5659 Pd
0.3290 0.2500 0.2465 Pd
0.4365 0.7500 0.0813 Pd
0.5635 0.2500 0.9187 Pd
0.6710 0.7500 0.7535 Pd
0.7097 0.2500 0.4341 Pd
0.8346 0.7500 0.2850 Pd
0.8568 0.2500 0.8191 Pd
0.9580 0.2500 0.1556 Pd
```

Properties
Energy of formation   -0.81 eV per atom
M_tot   0.00 μB/cell
SG   No. 11
Mass density   9.28 g/cm3